No. 1
# PBE-GGA Sm5DyPb6, relaxed
# ΔH_f (0 K) ... -0.48 eV per atom
# Spin magnetization ... 0.00 μB/f.u.
# E above lowest polymorph ... 0.00 eV per formula unit
data_Sm5DyPb6
_chemical_formula_sum 'Sm10 Dy2 Pb12'
_space_group_name_H-M_alt 'I m m m'
_space_group_IT_number 71
_space_group_name_Hall '-I 2 2'
_cell_length_a 5.007
_cell_length_b 9.101
_cell_length_c 15.328
_cell_angle_alpha 90.00
_cell_angle_beta 90.00
_cell_angle_gamma 90.00
loop_
_atom_site_label
_atom_site_fract_x
_atom_site_fract_y
_atom_site_fract_z
_atom_site_occupancy
Sm1 0.000 0.000 0.000 1
Sm2 0.000 0.000 0.335 1
Sm3 0.000 0.500 0.333 1
Dy1 0.000 0.500 0.000 1
Pb1 0.000 0.248 0.500 1
Pb2 0.000 0.251 0.166 1

No. 2
# PBE-GGA ZrInIrO6, relaxed
# Spin magnetization ... 1.99 μB/f.u.
# Raw formation energy ... -1.69 eV/atom
data_ZrInIrO6
_chemical_formula_sum 'Zr2 In2 Ir2 O12'
_space_group_name_H-M_alt 'P -3 1 c'
_space_group_IT_number 163
_space_group_name_Hall '-P 3 2c'
_cell_length_a 5.3061
_cell_length_b 5.3061
_cell_length_c 9.3586
_cell_angle_alpha 90.00
_cell_angle_beta 90.00
_cell_angle_gamma 120.00
loop_
_atom_site_label
_atom_site_fract_x
_atom_site_fract_y
_atom_site_fract_z
_atom_site_occupancy
Zr1 0.3333 0.6667 0.2500 1
In1 0.0000 0.0000 0.0000 1
Ir1 0.3333 0.6667 0.7500 1
O1 0.0172 0.3574 0.6312 1

No. 3
# PBE-GGA Er6TmZn, relaxed
# ΔH_f (0 K) ... 0.05 eV per atom
# Spin magnetization ... 0.00 μB/f.u.
data_Er6TmZn
_chemical_formula_sum 'Er18 Tm3 Zn3'
_space_group_name_H-M_alt 'R -3'
_space_group_IT_number 148
_space_group_name_Hall '-R 3'
_cell_length_a 9.1379
_cell_length_b 9.1379
_cell_length_c 9.6489
_cell_angle_alpha 90.00
_cell_angle_beta 90.00
_cell_angle_gamma 120.00
loop_
_atom_site_label
_atom_site_fract_x
_atom_site_fract_y
_atom_site_fract_z
_atom_site_occupancy
Er1 0.0307 0.2498 0.2065 1
Tm1 0.0000 0.0000 0.5000 1
Zn1 0.0000 0.0000 0.0000 1

No. 4
# PBE-GGA Yb2EuO4, relaxed
# Spin magnetization ... 7.44 μB/f.u.
# Raw formation energy ... -2.89 eV/atom
data_Yb2EuO4
_chemical_formula_sum 'Yb8 Eu4 O16'
_space_group_name_H-M_alt 'P n m a'
_space_group_IT_number 62
_space_group_name_Hall '-P 2ac 2n'
_cell_length_a 9.954
_cell_length_b 3.375
_cell_length_c 11.892
_cell_angle_alpha 90.00
_cell_angle_beta 90.00
_cell_angle_gamma 90.00
loop_
_atom_site_label
_atom_site_fract_x
_atom_site_fract_y
_atom_site_fract_z
_atom_site_occupancy
Yb1 0.077 0.250 0.110 1
Yb2 0.079 0.250 0.612 1
Eu1 0.244 0.250 0.849 1
O1 0.002 0.750 0.211 1
O2 0.082 0.250 0.417 1
O3 0.135 0.750 0.976 1
O4 0.217 0.750 0.690 1

No. 5
# PBE-GGA HgP2OF, relaxed
# Spin magnetization ... 0.00 μB/f.u.
# Raw formation energy ... 0.76 eV/atom
# E above lowest polymorph ... 0.00 eV per formula unit
data_HgP2OF
_chemical_formula_sum 'Hg1 P2 O1 F1'
_space_group_name_H-M_alt 'P 4/m m m'
_space_group_IT_number 123
_space_group_name_Hall '-P 4 2'
_cell_length_a 4.080
_cell_length_b 4.080
_cell_length_c 4.742
_cell_angle_alpha 90.00
_cell_angle_beta 90.00
_cell_angle_gamma 90.00
loop_
_atom_site_label
_atom_site_fract_x
_atom_site_fract_y
_atom_site_fract_z
_atom_site_occupancy
Hg1 0.000 0.000 0.000 1
P1 0.000 0.500 0.500 1
O1 0.500 0.500 0.000 1
F1 0.500 0.500 0.500 1

No. 6
# PBE-GGA Ac2PuAl4Pt3, relaxed
# ΔH_f (0 K) ... -0.78 eV per atom
# Spin magnetization ... 5.89 μB/f.u.
data_Ac2PuAl4Pt3
_chemical_formula_sum 'Ac2 Pu1 Al4 Pt3'
_space_group_name_H-M_alt 'P -4 m 2'
_space_group_IT_number 115
_space_group_name_Hall 'P -4 -2'
_cell_length_a 4.434
_cell_length_b 4.434
_cell_length_c 11.356
_cell_angle_alpha 90.00
_cell_angle_beta 90.00
_cell_angle_gamma 90.00
loop_
_atom_site_label
_atom_site_fract_x
_atom_site_fract_y
_atom_site_fract_z
_atom_site_occupancy
Ac1 0.000 0.500 0.236 1
Pu1 0.000 0.000 0.500 1
Al1 0.000 0.000 0.000 1
Al2 0.000 0.500 0.666 1
Al3 0.500 0.500 0.000 1
Pt1 0.000 0.500 0.884 1
Pt2 0.500 0.500 0.500 1

No. 7
# PBE-GGA Nb2VNi, relaxed
# ΔH_f (0 K) ... -0.05 eV per atom
# Spin magnetization ... 0.00 μB/f.u.
# E above lowest polymorph ... 0.00 eV per formula unit
data_Nb2VNi
_chemical_formula_sum 'Nb2 V1 Ni1'
_space_group_name_H-M_alt 'P 4/m m m'
_space_group_IT_number 123
_space_group_name_Hall '-P 4 2'
_cell_length_a 3.185
_cell_length_b 3.185
_cell_length_c 6.025
_cell_angle_alpha 90.00
_cell_angle_beta 90.00
_cell_angle_gamma 90.00
loop_
_atom_site_label
_atom_site_fract_x
_atom_site_fract_y
_atom_site_fract_z
_atom_site_occupancy
Nb1 0.000 0.000 0.249 1
V1 0.500 0.500 0.000 1
Ni1 0.500 0.500 0.500 1

No. 8
# PBE-GGA HgRh2, relaxed
# ΔH_f (0 K) ... 0.23 eV per atom
# Spin magnetization ... 0.88 μB/f.u.
data_HgRh2
_chemical_formula_sum 'Hg2 Rh4'
_space_group_name_H-M_alt 'I m m m'
_space_group_IT_number 71
_space_group_name_Hall '-I 2 2'
_cell_length_a 2.881
_cell_length_b 3.846
_cell_length_c 8.882
_cell_angle_alpha 90.00
_cell_angle_beta 90.00
_cell_angle_gamma 90.00
loop_
_atom_site_label
_atom_site_fract_x
_atom_site_fract_y
_atom_site_fract_z
_atom_site_occupancy
Hg1 0.000 0.000 0.000 1
Rh1 0.000 0.000 0.321 1

No. 9
# PBE-GGA TiB3Mo, relaxed
# ΔH_f (0 K) ... -0.61 eV per atom
# Spin magnetization ... 0.00 μB/f.u.
# E above lowest polymorph ... 0.00 eV per formula unit
data_TiB3Mo
_chemical_formula_sum 'Ti4 B12 Mo4'
_space_group_name_H-M_alt 'C m c m'
_space_group_IT_number 63
_space_group_name_Hall '-C 2c 2'
_cell_length_a 3.236
_cell_length_b 19.047
_cell_length_c 3.067
_cell_angle_alpha 90.00
_cell_angle_beta 90.00
_cell_angle_gamma 90.00
loop_
_atom_site_label
_atom_site_fract_x
_atom_site_fract_y
_atom_site_fract_z
_atom_site_occupancy
Ti1 0.000 0.203 0.250 1
B1 0.000 0.333 0.250 1
B2 0.000 0.382 0.750 1
B3 0.000 0.476 0.750 1
Mo1 0.000 0.070 0.750 1

No. 10
# PBE-GGA Zr2TiMnRe, relaxed
# ΔH_f (0 K) ... 0.68 eV per atom
# Spin magnetization ... 0.00 μB/f.u.
data_Zr2TiMnRe
_chemical_formula_sum 'Zr2 Ti1 Mn1 Re1'
_space_group_name_H-M_alt 'P 4/m m m'
_space_group_IT_number 123
_space_group_name_Hall '-P 4 2'
_cell_length_a 4.838
_cell_length_b 4.838
_cell_length_c 4.119
_cell_angle_alpha 90.00
_cell_angle_beta 90.00
_cell_angle_gamma 90.00
loop_
_atom_site_label
_atom_site_fract_x
_atom_site_fract_y
_atom_site_fract_z
_atom_site_occupancy
Zr1 0.000 0.500 0.000 1
Ti1 0.000 0.000 0.500 1
Mn1 0.000 0.000 0.000 1
Re1 0.500 0.500 0.500 1

No. 11
# PBE-GGA RbCd3Bi3, relaxed
# ΔH_f (0 K) ... -0.04 eV per atom
# Spin magnetization ... 0.00 μB/f.u.
# E above lowest polymorph ... 0.38 eV per formula unit
data_RbCd3Bi3
_chemical_formula_sum 'Rb2 Cd6 Bi6'
_space_group_name_H-M_alt 'P m -3 n'
_space_group_IT_number 223
_space_group_name_Hall '-P 4n 2 3'
_cell_length_a 8.311
_cell_length_b 8.311
_cell_length_c 8.311
_cell_angle_alpha 90.00
_cell_angle_beta 90.00
_cell_angle_gamma 90.00
loop_
_atom_site_label
_atom_site_fract_x
_atom_site_fract_y
_atom_site_fract_z
_atom_site_occupancy
Rb1 0.000 0.000 0.000 1
Cd1 0.000 0.250 0.500 1
Bi1 0.000 0.500 0.250 1

No. 12
# PBE-GGA ScAg2, relaxed
# ΔH_f (0 K) ... -0.13 eV per atom
# Spin magnetization ... 0.00 μB/f.u.
# E above lowest polymorph ... 0.47 eV per formula unit
data_ScAg2
_chemical_formula_sum 'Sc4 Ag8'
_space_group_name_H-M_alt 'C 1 2/m 1'
_space_group_IT_number 12
_space_group_name_Hall '-C 2y'
_cell_length_a 10.586
_cell_length_b 3.396
_cell_length_c 6.968
_cell_angle_alpha 90.00
_cell_angle_beta 110.16
_cell_angle_gamma 90.00
loop_
_atom_site_label
_atom_site_fract_x
_atom_site_fract_y
_atom_site_fract_z
_atom_site_occupancy
Sc1 0.169 0.000 0.126 1
Ag1 0.030 0.500 0.773 1
Ag2 0.154 0.000 0.549 1

No. 13
# PBE-GGA Ba2NpPaN4, relaxed
# Spin magnetization ... 2.96 μB/f.u.
# Raw formation energy ... -1.08 eV/atom
data_Ba2NpPaN4
_chemical_formula_sum 'Ba2 Np1 Pa1 N4'
_space_group_name_H-M_alt 'P 1 2/m 1'
_space_group_IT_number 10
_space_group_name_Hall '-P 2y'
_cell_length_a 6.272
_cell_length_b 3.625
_cell_length_c 6.729
_cell_angle_alpha 90.00
_cell_angle_beta 107.97
_cell_angle_gamma 90.00
loop_
_atom_site_label
_atom_site_fract_x
_atom_site_fract_y
_atom_site_fract_z
_atom_site_occupancy
Ba1 0.000 0.000 0.000 1
Ba2 0.500 0.500 0.000 1
Np1 0.000 0.500 0.500 1
Pa1 0.500 0.000 0.500 1
N1 0.220 0.000 0.666 1
N2 0.277 0.500 0.333 1

No. 14
# PBE-GGA NdZrS3, relaxed
# Spin magnetization ... 0.00 μB/f.u.
# Raw formation energy ... -1.77 eV/atom
# E above lowest polymorph ... 0.00 eV per formula unit
data_NdZrS3
_chemical_formula_sum 'Nd4 Zr4 S12'
_space_group_name_H-M_alt 'P n m a'
_space_group_IT_number 62
_space_group_name_Hall '-P 2ac 2n'
_cell_length_a 8.233
_cell_length_b 3.752
_cell_length_c 14.023
_cell_angle_alpha 90.00
_cell_angle_beta 90.00
_cell_angle_gamma 90.00
loop_
_atom_site_label
_atom_site_fract_x
_atom_site_fract_y
_atom_site_fract_z
_atom_site_occupancy
Nd1 0.131 0.250 0.194 1
Zr1 0.172 0.750 0.459 1
S1 0.008 0.750 0.616 1
S2 0.160 0.250 0.799 1
S3 0.161 0.750 0.042 1

No. 15
# PBE-GGA Tb5ErN6, relaxed
# Spin magnetization ... 0.00 μB/f.u.
# Raw formation energy ... -1.68 eV/atom
data_Tb5ErN6
_chemical_formula_sum 'Tb10 Er2 N12'
_space_group_name_H-M_alt 'C 1 2/m 1'
_space_group_IT_number 12
_space_group_name_Hall '-C 2y'
_cell_length_a 6.038
_cell_length_b 10.460
_cell_length_c 6.038
_cell_angle_alpha 90.00
_cell_angle_beta 109.46
_cell_angle_gamma 90.00
loop_
_atom_site_label
_atom_site_fract_x
_atom_site_fract_y
_atom_site_fract_z
_atom_site_occupancy
Tb1 0.000 0.000 0.000 1
Tb2 0.000 0.167 0.500 1
Tb3 0.000 0.334 0.000 1
Er1 0.000 0.500 0.500 1
N1 0.248 0.335 0.749 1
N2 0.248 0.500 0.251 1

No. 16
# PBE-GGA CaBe2Si, relaxed
# Spin magnetization ... 0.00 μB/f.u.
# Raw formation energy ... 0.61 eV/atom
data_CaBe2Si
_chemical_formula_sum 'Ca2 Be4 Si2'
_space_group_name_H-M_alt 'C 1 2/m 1'
_space_group_IT_number 12
_space_group_name_Hall '-C 2y'
_cell_length_a 5.622
_cell_length_b 9.317
_cell_length_c 2.621
_cell_angle_alpha 90.00
_cell_angle_beta 115.12
_cell_angle_gamma 90.00
loop_
_atom_site_label
_atom_site_fract_x
_atom_site_fract_y
_atom_site_fract_z
_atom_site_occupancy
Ca1 0.000 0.000 0.000 1
Be1 0.250 0.250 0.500 1
Si1 0.000 0.500 0.000 1

No. 17
# PBE-GGA La8Dy3Y2, relaxed
# ΔH_f (0 K) ... 0.15 eV per atom
# Spin magnetization ... 0.00 μB/f.u.
# E above lowest polymorph ... 0.00 eV per formula unit
data_La8Dy3Y2
_chemical_formula_sum 'La16 Dy6 Y4'
_space_group_name_H-M_alt 'C 1 2/m 1'
_space_group_IT_number 12
_space_group_name_Hall '-C 2y'
_cell_length_a 13.660
_cell_length_b 11.864
_cell_length_c 6.161
_cell_angle_alpha 90.00
_cell_angle_beta 112.58
_cell_angle_gamma 90.00
loop_
_atom_site_label
_atom_site_fract_x
_atom_site_fract_y
_atom_site_fract_z
_atom_site_occupancy
La1 0.085 0.000 0.235 1
La2 0.139 0.500 0.610 1
La3 0.160 0.260 0.149 1
Dy1 0.000 0.227 0.500 1
Dy2 0.000 0.500 0.000 1
Y1 0.188 0.000 0.817 1

No. 18
# PBE-GGA Nd3ErAl4, relaxed
# ΔH_f (0 K) ... -0.36 eV per atom
# Spin magnetization ... 0.00 μB/f.u.
data_Nd3ErAl4
_chemical_formula_sum 'Nd3 Er1 Al4'
_space_group_name_H-M_alt 'P 4/m m m'
_space_group_IT_number 123
_space_group_name_Hall '-P 4 2'
_cell_length_a 3.683
_cell_length_b 3.683
_cell_length_c 14.800
_cell_angle_alpha 90.00
_cell_angle_beta 90.00
_cell_angle_gamma 90.00
loop_
_atom_site_label
_atom_site_fract_x
_atom_site_fract_y
_atom_site_fract_z
_atom_site_occupancy
Nd1 0.000 0.000 0.000 1
Nd2 0.000 0.000 0.256 1
Er1 0.000 0.000 0.500 1
Al1 0.500 0.500 0.128 1
Al2 0.500 0.500 0.387 1

No. 19
# PBE-GGA BaGa2Pt2, relaxed
# ΔH_f (0 K) ... -0.83 eV per atom
# Spin magnetization ... 0.00 μB/f.u.
data_BaGa2Pt2
_chemical_formula_sum 'Ba4 Ga8 Pt8'
_space_group_name_H-M_alt 'P 1 21/c 1'
_space_group_IT_number 14
_space_group_name_Hall '-P 2ybc'
_cell_length_a 8.594
_cell_length_b 6.605
_cell_length_c 8.332
_cell_angle_alpha 90.00
_cell_angle_beta 96.25
_cell_angle_gamma 90.00
loop_
_atom_site_label
_atom_site_fract_x
_atom_site_fract_y
_atom_site_fract_z
_atom_site_occupancy
Ba1 0.234 0.113 0.003 1
Ga1 0.072 0.579 0.872 1
Ga2 0.442 0.650 0.192 1
Pt1 0.146 0.669 0.172 1
Pt2 0.371 0.601 0.894 1

No. 20
# PBE-GGA Ac2CuHgO5, relaxed
# Spin magnetization ... 0.00 μB/f.u.
# Raw formation energy ... -1.93 eV/atom
data_Ac2CuHgO5
_chemical_formula_sum 'Ac4 Cu2 Hg2 O10'
_space_group_name_H-M_alt 'P 4/m b m'
_space_group_IT_number 127
_space_group_name_Hall '-P 4 2ab'
_cell_length_a 7.335
_cell_length_b 7.335
_cell_length_c 5.547
_cell_angle_alpha 90.00
_cell_angle_beta 90.00
_cell_angle_gamma 90.00
loop_
_atom_site_label
_atom_site_fract_x
_atom_site_fract_y
_atom_site_fract_z
_atom_site_occupancy
Ac1 0.181 0.319 0.000 1
Cu1 0.000 0.500 0.500 1
Hg1 0.000 0.000 0.500 1
O1 0.000 0.000 0.000 1
O2 0.122 0.622 0.258 1

No. 21
# PBE-GGA CsLiPbSe, relaxed
# Spin magnetization ... 0.00 μB/f.u.
# Raw formation energy ... -0.75 eV/atom
data_CsLiPbSe
_chemical_formula_sum 'Cs2 Li2 Pb2 Se2'
_space_group_name_H-M_alt 'P 4/n m m'
_space_group_IT_number 129
_cell_length_a 4.455
_cell_length_b 4.455
_cell_length_c 14.523
_cell_angle_alpha 90.00
_cell_angle_beta 90.00
_cell_angle_gamma 90.00
loop_
_space_group_symop_operation_xyz
'x,y,z'
'-x,-y,-z'
'-y+1/2,x,z'
'y+1/2,-x,-z'
'-x+1/2,-y+1/2,z'
'x+1/2,y+1/2,-z'
'y,-x+1/2,z'
'-y,x+1/2,-z'
'x+1/2,-y,-z'
'-x+1/2,y,z'
'-y,-x,-z'
'y,x,z'
'-x,y+1/2,-z'
'x,-y+1/2,z'
'y+1/2,x+1/2,-z'
'-y+1/2,-x+1/2,z'
loop_
_atom_site_label
_atom_site_fract_x
_atom_site_fract_y
_atom_site_fract_z
_atom_site_occupancy
Cs1 0.250 0.250 0.213 1
Li1 0.250 0.750 0.000 1
Pb1 0.250 0.750 0.500 1
Se1 0.250 0.250 0.905 1